Entry 1:
A geometry-optimized Ta3Mo4W3 structure, computed with PBE.

Structure (CIF):
```
data_Ta3Mo4W3
_chemical_formula_sum 'Ta6 Mo8 W6'
_symmetry_space_group_name_H-M 'A m m 2'
_symmetry_Int_Tables_number 38
_cell_length_a 3.2251
_cell_length_b 10.1747
_cell_length_c 10.6783
_cell_angle_alpha 90.00
_cell_angle_beta 90.00
_cell_angle_gamma 90.00
loop_
_symmetry_equiv_pos_as_xyz
'x,y,z'
'-x,-y,z'
'-x,y,z'
'x,-y,z'
'x,y+1/2,z+1/2'
'-x,-y+1/2,z+1/2'
'-x,y+1/2,z+1/2'
'x,-y+1/2,z+1/2'
loop_
_atom_site_label
_atom_site_type_symbol
_atom_site_fract_x
_atom_site_fract_y
_atom_site_fract_z
Ta1 Ta 0.0000 0.0000 0.0000
Ta2 Ta 0.0000 0.1695 0.6057
Mo1 Mo 0.5000 0.0000 0.5009
Mo2 Mo 0.5000 0.0000 0.7832
Mo3 Mo 0.5000 0.1452 0.1742
W1 W 0.0000 0.0000 0.3151
W2 W 0.5000 0.2284 0.8876
```

Calculated values
crystal system: orthorhombic
energy of formation: 545 meV/atom
calculated total energy: -11.229 eV per atom

---

Entry 2:
A geometry-optimized TaMo2W structure, computed with PBE.

Structure (CIF):
```
data_TaMo2W
_chemical_formula_sum 'Ta2 Mo4 W2'
_symmetry_space_group_name_H-M 'I m m m'
_symmetry_Int_Tables_number 71
_symmetry_space_group_name_Hall '-I 2 2'
_cell_length_a 3.2038
_cell_length_b 4.5462
_cell_length_c 9.0195
_cell_angle_alpha 90.00
_cell_angle_beta 90.00
_cell_angle_gamma 90.00
loop_
_atom_site_label
_atom_site_type_symbol
_atom_site_fract_x
_atom_site_fract_y
_atom_site_fract_z
Ta1 Ta 0.0000 0.0000 0.0000
Mo1 Mo 0.0000 0.5000 0.2471
W1 W 0.0000 0.0000 0.5000
```

Calculated values
polymorph energy (0 for the lowest one): 0.035 eV/atom
crystal system: orthorhombic
energy of formation: -115 meV/atom
calculated total energy: -11.732 eV per atom

---

Entry 3:
A geometry-optimized Ta2Mo4W3 structure, computed with PBE.

Structure (CIF):
```
data_Ta2Mo4W3
_chemical_formula_sum 'Ta2 Mo4 W3'
_symmetry_space_group_name_H-M 'P -3 m 1'
_symmetry_Int_Tables_number 164
_symmetry_space_group_name_Hall '-P 3 2"'
_cell_length_a 4.5125
_cell_length_b 4.5125
_cell_length_c 8.3434
_cell_angle_alpha 90.00
_cell_angle_beta 90.00
_cell_angle_gamma 120.00
loop_
_atom_site_label
_atom_site_type_symbol
_atom_site_fract_x
_atom_site_fract_y
_atom_site_fract_z
Ta1 Ta 0.3333 0.6667 0.2215
Mo1 Mo 0.0000 0.0000 0.3369
Mo2 Mo 0.3333 0.6667 0.8883
W1 W 0.0000 0.0000 0.0000
W2 W 0.3333 0.6667 0.5595
```

Calculated values
crystal system: trigonal
energy of formation: -136 meV/atom
calculated total energy: -11.901 eV per atom

---

Entry 4:
A geometry-optimized Ta4Mo2W structure, computed with PBE.

Structure (CIF):
```
data_Ta4Mo2W
_chemical_formula_sum 'Ta12 Mo6 W3'
_symmetry_space_group_name_H-M 'R -3 m'
_symmetry_Int_Tables_number 166
_symmetry_space_group_name_Hall '-R 3 2"'
_cell_length_a 4.5563
_cell_length_b 4.5563
_cell_length_c 21.8253
_cell_angle_alpha 90.00
_cell_angle_beta 90.00
_cell_angle_gamma 120.00
loop_
_atom_site_label
_atom_site_type_symbol
_atom_site_fract_x
_atom_site_fract_y
_atom_site_fract_z
Ta1 Ta 0.0000 0.0000 0.1224
Ta2 Ta 0.0000 0.0000 0.2543
Mo1 Mo 0.0000 0.0000 0.3780
W1 W 0.0000 0.0000 0.5000
```

Calculated values
polymorph energy (0 for the lowest one): 0.168 eV/atom
crystal system: trigonal
energy of formation: 407 meV/atom
calculated total energy: -11.311 eV per atom

---

Entry 5:
A geometry-optimized Ta8Mo2W3 structure, computed with PBE.

Structure (CIF):
```
data_Ta8Mo2W3
_chemical_formula_sum 'Ta16 Mo4 W6'
_symmetry_space_group_name_H-M 'C m m m'
_symmetry_Int_Tables_number 65
_symmetry_space_group_name_Hall '-C 2 2'
_cell_length_a 8.9099
_cell_length_b 12.7052
_cell_length_c 4.4825
_cell_angle_alpha 90.00
_cell_angle_beta 90.00
_cell_angle_gamma 90.00
loop_
_atom_site_label
_atom_site_type_symbol
_atom_site_fract_x
_atom_site_fract_y
_atom_site_fract_z
Ta1 Ta 0.0000 0.1228 0.0000
Ta2 Ta 0.0000 0.3713 0.0000
Ta3 Ta 0.2429 0.1253 0.5000
Mo1 Mo 0.0000 0.2496 0.5000
W1 W 0.0000 0.5000 0.5000
W2 W 0.2467 0.0000 0.0000
```

Calculated values
crystal system: orthorhombic
energy of formation: 448 meV/atom
calculated total energy: -11.501 eV per atom

---

Entry 6:
A geometry-optimized Ta2Mo6W structure, computed with PBE.

Structure (CIF):
```
data_Ta2Mo6W
_chemical_formula_sum 'Ta4 Mo12 W2'
_symmetry_space_group_name_H-M 'C 1 2/m 1'
_symmetry_Int_Tables_number 12
_cell_length_a 13.4663
_cell_length_b 8.2339
_cell_length_c 2.7067
_cell_angle_alpha 90.00
_cell_angle_beta 94.10
_cell_angle_gamma 90.00
loop_
_symmetry_equiv_pos_as_xyz
'x,y,z'
'-x,-y,-z'
'-x,y,-z'
'x,-y,z'
'x+1/2,y+1/2,z'
'-x+1/2,-y+1/2,-z'
'-x+1/2,y+1/2,-z'
'x+1/2,-y+1/2,z'
loop_
_atom_site_label
_atom_site_type_symbol
_atom_site_fract_x
_atom_site_fract_y
_atom_site_fract_z
Ta1 Ta 0.1678 0.0000 0.4869
Mo1 Mo 0.0000 0.1746 0.0000
Mo2 Mo 0.1663 0.3293 0.8150
W1 W 0.0000 0.5000 0.5000
```

Calculated values
polymorph energy (0 for the lowest one): 0.246 eV/atom
crystal system: monoclinic
energy of formation: 136 meV/atom
calculated total energy: -11.158 eV per atom

---

Entry 7:
A geometry-optimized Ta2MoW4 structure, computed with PBE.

Structure (CIF):
```
data_Ta2MoW4
_chemical_formula_sum 'Ta2 Mo1 W4'
_symmetry_space_group_name_H-M 'P 1 m 1'
_symmetry_Int_Tables_number 6
_cell_length_a 4.5465
_cell_length_b 4.4407
_cell_length_c 6.2781
_cell_angle_alpha 90.00
_cell_angle_beta 90.13
_cell_angle_gamma 90.00
loop_
_symmetry_equiv_pos_as_xyz
'x,y,z'
'x,-y,z'
loop_
_atom_site_label
_atom_site_type_symbol
_atom_site_fract_x
_atom_site_fract_y
_atom_site_fract_z
Ta1 Ta 0.0000 0.0000 0.0000
Ta2 Ta 0.4997 0.0000 0.2663
Mo1 Mo 0.9998 0.5000 0.7413
W1 W 0.9998 0.0000 0.5070
W2 W 0.9998 0.5000 0.2569
W3 W 0.4999 0.0000 0.7462
W4 W 0.5000 0.5000 0.9913
```

Calculated values
polymorph energy (0 for the lowest one): 0.513 eV/atom
crystal system: monoclinic
energy of formation: 388 meV/atom
calculated total energy: -11.947 eV per atom

---

Entry 8:
A geometry-optimized TaMo2W4 structure, computed with PBE.

Structure (CIF):
```
data_TaMo2W4
_chemical_formula_sum 'Ta1 Mo2 W4'
_symmetry_space_group_name_H-M 'P 1 2/m 1'
_symmetry_Int_Tables_number 10
_cell_length_a 3.1255
_cell_length_b 4.4670
_cell_length_c 8.6507
_cell_angle_alpha 90.00
_cell_angle_beta 94.48
_cell_angle_gamma 90.00
loop_
_symmetry_equiv_pos_as_xyz
'x,y,z'
'-x,-y,-z'
'-x,y,-z'
'x,-y,z'
loop_
_atom_site_label
_atom_site_type_symbol
_atom_site_fract_x
_atom_site_fract_y
_atom_site_fract_z
Ta1 Ta 0.0000 0.0000 0.0000
Mo1 Mo 0.3014 0.5000 0.8702
W1 W 0.2240 0.5000 0.3775
W2 W 0.2852 0.0000 0.6447
```

Calculated values
polymorph energy (0 for the lowest one): 0.000 eV/atom
crystal system: monoclinic
energy of formation: 426 meV/atom
calculated total energy: -11.764 eV per atom

---

Entry 9:
A geometry-optimized TaMo6W8 structure, computed with PBE.

Structure (CIF):
```
data_TaMo6W8
_chemical_formula_sum 'Ta1 Mo6 W8'
_symmetry_space_group_name_H-M 'P -3'
_symmetry_Int_Tables_number 147
_cell_length_a 10.1111
_cell_length_b 10.1111
_cell_length_c 2.9144
_cell_angle_alpha 90.00
_cell_angle_beta 90.00
_cell_angle_gamma 120.00
loop_
_symmetry_equiv_pos_as_xyz
'x,y,z'
'-x,-y,-z'
'-y,x-y,z'
'y,-x+y,-z'
'-x+y,-x,z'
'x-y,x,-z'
loop_
_atom_site_label
_atom_site_type_symbol
_atom_site_fract_x
_atom_site_fract_y
_atom_site_fract_z
Ta1 Ta 0.0000 0.0000 0.0000
Mo1 Mo 0.1014 0.4723 0.1337
W1 W 0.0854 0.7967 0.3528
W2 W 0.3333 0.6667 0.6251
```

Calculated values
polymorph energy (0 for the lowest one): 0.301 eV/atom
crystal system: trigonal
energy of formation: 570 meV/atom
calculated total energy: -11.461 eV per atom

---

Entry 10:
A geometry-optimized Ta2Mo7W3 structure, computed with PBE.

Structure (CIF):
```
data_Ta2Mo7W3
_chemical_formula_sum 'Ta4 Mo14 W6'
_symmetry_space_group_name_H-M 'C m m m'
_symmetry_Int_Tables_number 65
_symmetry_space_group_name_Hall '-C 2 2'
_cell_length_a 4.4864
_cell_length_b 21.9035
_cell_length_c 4.3907
_cell_angle_alpha 90.00
_cell_angle_beta 90.00
_cell_angle_gamma 90.00
loop_
_atom_site_label
_atom_site_type_symbol
_atom_site_fract_x
_atom_site_fract_y
_atom_site_fract_z
Ta1 Ta 0.0000 0.1468 0.0000
Mo1 Mo 0.0000 0.0000 0.0000
Mo2 Mo 0.0000 0.0724 0.5000
Mo3 Mo 0.0000 0.2855 0.0000
Mo4 Mo 0.0000 0.4276 0.0000
W1 W 0.0000 0.3537 0.5000
W2 W 0.0000 0.5000 0.5000
```

Calculated values
crystal system: orthorhombic
energy of formation: 361 meV/atom
calculated total energy: -11.171 eV per atom

---

Entry 11:
A geometry-optimized TaMo6W2 structure, computed with PBE.

Structure (CIF):
```
data_TaMo6W2
_chemical_formula_sum 'Ta2 Mo12 W4'
_symmetry_space_group_name_H-M 'C 1 2/m 1'
_symmetry_Int_Tables_number 12
_cell_length_a 8.8468
_cell_length_b 5.4794
_cell_length_c 6.9562
_cell_angle_alpha 90.00
_cell_angle_beta 115.78
_cell_angle_gamma 90.00
loop_
_symmetry_equiv_pos_as_xyz
'x,y,z'
'-x,-y,-z'
'-x,y,-z'
'x,-y,z'
'x+1/2,y+1/2,z'
'-x+1/2,-y+1/2,-z'
'-x+1/2,y+1/2,-z'
'x+1/2,-y+1/2,z'
loop_
_atom_site_label
_atom_site_type_symbol
_atom_site_fract_x
_atom_site_fract_y
_atom_site_fract_z
Ta1 Ta 0.0000 0.0000 0.0000
Mo1 Mo 0.0685 0.2656 0.7124
Mo2 Mo 0.2255 0.0000 0.4480
W1 W 0.1662 0.5000 0.1279
```

Calculated values
polymorph energy (0 for the lowest one): 0.510 eV/atom
crystal system: monoclinic
energy of formation: 441 meV/atom
calculated total energy: -10.975 eV per atom

---

Entry 12:
A geometry-optimized TaMo2W structure, computed with PBE.

Structure (CIF):
```
data_TaMo2W
_chemical_formula_sum 'Ta2 Mo4 W2'
_symmetry_space_group_name_H-M 'C m m 2'
_symmetry_Int_Tables_number 35
_cell_length_a 3.1883
_cell_length_b 4.5537
_cell_length_c 9.0439
_cell_angle_alpha 90.00
_cell_angle_beta 90.00
_cell_angle_gamma 90.00
loop_
_symmetry_equiv_pos_as_xyz
'x,y,z'
'-x,-y,z'
'-x,y,z'
'x,-y,z'
'x+1/2,y+1/2,z'
'-x+1/2,-y+1/2,z'
'-x+1/2,y+1/2,z'
'x+1/2,-y+1/2,z'
loop_
_atom_site_label
_atom_site_type_symbol
_atom_site_fract_x
_atom_site_fract_y
_atom_site_fract_z
Ta1 Ta 0.0000 0.0000 0.0000
Mo1 Mo 0.0000 0.0000 0.4982
Mo2 Mo 0.0000 0.5000 0.2545
W1 W 0.0000 0.5000 0.7432
```

Calculated values
polymorph energy (0 for the lowest one): 0.067 eV/atom
crystal system: orthorhombic
energy of formation: -83 meV/atom
calculated total energy: -11.700 eV per atom